Density functional theory data (GGA-PBE) for crystalline LaCuNi2 at its relaxed geometry.

Unit cell a=4.1794 b=4.1794 c=5.2925 alpha=66.67 beta=66.67 gamma=59.99
With the nearest neighbours (Å) after each atom.
Element x y z (fractional)
Cu  0.7500  0.7500  0.7500  6 Ni 2.44
La  0.2500  0.2500  0.2500  2 Ni 2.72
Ni  0.4426  0.4426  0.6722  3 Cu 2.44, 3 Ni 2.52, 1 La 2.72
Ni  0.0574  0.0574  0.8278  3 Cu 2.44, 3 Ni 2.52, 1 La 2.72

Results
Magnetic moment (μB/f.u.): 0.0
DFT total energy (eV per atom): -5.4208
Space group: R-3m (166)
ρ (g cm⁻³): 7.5
DOS(E_F) (states/eV per cell): 2.102

Density functional theory data (GGA-PBE) for crystalline Pm6Y2HoEr3 at its relaxed geometry.

Unit cell a=6.2354 b=6.2354 c=11.8024 alpha=95.03 beta=95.03 gamma=119.98
With the nearest neighbours (Å) after each atom.
Element x y z (fractional)
Ho  0.0000  0.0000  0.0000  6 Pm 3.58, 6 Y 3.60
Pm  0.5835  0.9160  0.7486  3 Er 3.56, 1 Ho 3.58, 2 Y 3.59, 6 Pm 3.59-3.61
Er  0.8333  0.1667  0.5000  6 Pm 3.56, 6 Er 3.60
Pm  0.4165  0.0840  0.2514  3 Er 3.56, 1 Ho 3.58, 2 Y 3.59, 6 Pm 3.59-3.61
Pm  0.2486  0.2486  0.7485  3 Er 3.56, 1 Ho 3.58, 2 Y 3.59, 6 Pm 3.59-3.60
Er  0.5000  0.5000  0.5000  6 Pm 3.56, 6 Er 3.60
Er  0.1667  0.8333  0.5000  6 Pm 3.56, 6 Er 3.60
Y  0.3334  0.6666  0.0000  6 Pm 3.59, 3 Y 3.60, 3 Ho 3.60
Pm  0.7514  0.7514  0.2515  3 Er 3.56, 1 Ho 3.58, 2 Y 3.59, 6 Pm 3.59-3.60
Pm  0.0840  0.4165  0.2514  3 Er 3.56, 1 Ho 3.58, 2 Y 3.59, 6 Pm 3.59-3.61
Pm  0.9160  0.5835  0.7486  3 Er 3.56, 1 Ho 3.58, 2 Y 3.59, 6 Pm 3.59-3.61
Y  0.6666  0.3334  0.0000  6 Pm 3.59, 3 Y 3.60, 3 Ho 3.60

Results
Magnetic moment (μB/f.u.): 0.0
DFT total energy (eV per atom): -4.9620
Space group: C2/m (12)
ρ (g cm⁻³): 7.3
DOS(E_F) (states/eV per cell): 13.787

Density functional theory data (GGA-PBE) for crystalline RbReW3 at its relaxed geometry.

Unit cell a=4.5844 b=4.5844 c=4.5844 alpha=90.00 beta=90.00 gamma=90.00
With the nearest neighbours (Å) after each atom.
Element x y z (fractional)
W  0.5000  0.0000  0.0000  2 Rb 2.29
W  0.0000  0.5000  0.0000  2 Rb 2.29
Re  0.5000  0.5000  0.5000  12 W 3.24
Rb  0.0000  0.0000  0.0000  6 W 2.29
W  0.0000  0.0000  0.5000  2 Rb 2.29

Results
Magnetic moment (μB/f.u.): 0.0
DFT total energy (eV per atom): -6.3340
Space group: Pm-3m (221)
ρ (g cm⁻³): 14.2
DOS(E_F) (states/eV per cell): 5.148

Density functional theory data (GGA-PBE) for crystalline BaCeIr4 at its relaxed geometry.

Unit cell a=5.4908 b=5.4908 c=5.4908 alpha=60.00 beta=60.00 gamma=60.00
With the nearest neighbours (Å) after each atom.
Element x y z (fractional)
Ir  0.6253  0.6253  0.6253  6 Ir 2.74-2.75
Ir  0.6253  0.1241  0.6253  6 Ir 2.74-2.75
Ba  0.2500  0.2500  0.2500  12 Ir 3.22, 4 Ce 3.36
Ir  0.1241  0.6253  0.6253  6 Ir 2.74-2.75
Ir  0.6253  0.6253  0.1241  6 Ir 2.74-2.75
Ce  0.0000  0.0000  0.0000  12 Ir 3.22, 4 Ba 3.36

Results
Magnetic moment (μB/f.u.): 0.0
DFT total energy (eV per atom): -7.5977
Space group: F-43m (216)
ρ (g cm⁻³): 14.8
DOS(E_F) (states/eV per cell): 4.489

Density functional theory data (GGA-PBE) for crystalline Na3Mn3VSe8 at its relaxed geometry.

Unit cell a=7.4508 b=7.4480 c=8.2605 alpha=116.80 beta=90.00 gamma=120.01
With the nearest neighbours (Å) after each atom.
Element x y z (fractional)
Se  0.2654  0.5307  0.2967  3 Mn 2.58-2.59
Se  0.2323  0.9659  0.6980  1 V 2.56, 2 Mn 2.57
Na  0.0000  0.5000  0.0000  6 Se 3.00-3.02
Na  0.5000  0.5000  0.0000  6 Se 3.00-3.02
Mn  0.0000  0.5000  0.5000  6 Se 2.57-2.58
Se  0.7336  0.9659  0.6980  1 V 2.56, 2 Mn 2.57
Mn  0.5000  0.0000  0.5000  6 Se 2.57-2.59
Se  0.7677  0.0341  0.3020  1 V 2.56, 2 Mn 2.57
Se  0.2323  0.4645  0.6980  1 V 2.56, 2 Mn 2.57
V  0.0000  0.0000  0.5000  6 Se 2.56
Se  0.7346  0.4693  0.7033  3 Mn 2.58-2.59
Na  0.0000  0.0000  0.0000  6 Se 3.00-3.03
Mn  0.5000  0.5000  0.5000  6 Se 2.57-2.58
Se  0.2664  0.0341  0.3020  1 V 2.56, 2 Mn 2.57
Se  0.7677  0.5355  0.3020  1 V 2.56, 2 Mn 2.57

Results
Magnetic moment (μB/f.u.): 13.0
Formation energy without anion corrections (meV/atom): -706
Space group: R-3m (166)
ρ (g cm⁻³): 4.5
DOS(E_F) (states/eV per cell): 7.152

Density functional theory data (GGA-PBE) for crystalline BaNiTe2S4 at its relaxed geometry.

Unit cell a=7.1430 b=6.3594 c=6.3594 alpha=74.83 beta=55.83 gamma=55.83
With the nearest neighbours (Å) after each atom.
Element x y z (fractional)
Te  0.5000  0.2500  0.7500  4 S 2.71
S  0.0000  0.4629  0.1609  1 Ni 2.23
Ni  0.0000  0.5000  0.5000  4 S 2.23
Te  0.5000  0.7500  0.2500  4 S 2.71
Ba  0.0000  0.0000  0.0000  8 S 3.30-3.36
S  0.3762  0.1609  0.4629  1 Ni 2.23
S  0.0000  0.8391  0.5371  1 Ni 2.23
S  0.6238  0.5371  0.8391  1 Ni 2.23

Results
Magnetic moment (μB/f.u.): 0.9
Formation energy without anion corrections (meV/atom): -487
Space group: I-42m (121)
ρ (g cm⁻³): 4.9
DOS(E_F) (states/eV per cell): 5.809